# PmTiSb2 PBE optimized geometry
data_PmTiSb2
_symmetry_space_group_name_H-M 'P 1'
_symmetry_Int_Tables_number 1
_cell_length_a 5.2098
_cell_length_b 5.2098
_cell_length_c 5.2098
_cell_angle_alpha 60.00
_cell_angle_beta 60.00
_cell_angle_gamma 60.00
loop_
_symmetry_equiv_pos_as_xyz
'x,y,z'
loop_
_atom_site_label
_atom_site_type_symbol
_atom_site_fract_x
_atom_site_fract_y
_atom_site_fract_z
Sb1 Sb 0.7500 0.7500 0.7500
Sb2 Sb 0.2500 0.2500 0.2500
Ti1 Ti 0.0000 0.0000 0.0000
Pm1 Pm 0.5000 0.5000 0.5000
# volume = 25.0 Å³ per atom
# uncorrected energy = -5.680 eV per atom
# DOS at the Fermi energy = 4.43 states/eV/cell
# formation energy (no corrections) = -10.55 kcal/mol of atoms
# M_tot = 1.8 μB/cell